A relaxed Ho3InSe crystal. Source: Alexandria, functional GGA-PBE.

Calculated values
Symmetry: Pnma
Total magnetic moment: 1.9 Bohr magnetons per cell
E_form (uncorrected): -881.0 meV/atom
Uncorrected energy: -0.35810 Ry/atom
Mass density: 8416 kg/m3

The structure in POSCAR format:
```
Ho3InSe
1.0
9.080 0.000 0.000
0.000 3.968 0.000
0.000 0.000 15.085
Ho In Se
12 4 4
direct
0.039 0.250 0.117 Ho
0.159 0.250 0.517 Ho
0.211 0.750 0.278 Ho
0.289 0.250 0.778 Ho
0.341 0.750 0.017 Ho
0.461 0.750 0.617 Ho
0.539 0.250 0.383 Ho
0.659 0.250 0.983 Ho
0.711 0.750 0.222 Ho
0.789 0.250 0.722 Ho
0.841 0.750 0.483 Ho
0.961 0.750 0.883 Ho
0.060 0.750 0.673 In
0.440 0.250 0.173 In
0.560 0.750 0.827 In
0.940 0.250 0.327 In
0.160 0.250 0.944 Se
0.340 0.750 0.444 Se
0.660 0.250 0.556 Se
0.840 0.750 0.056 Se
```

---

A relaxed Fe2TeIr crystal. Source: Alexandria, functional GGA-PBE.

Calculated values
Symmetry: F-43m
Total magnetic moment: 5.7 Bohr magnetons per cell
E_form (uncorrected): 328.3 meV/atom
Uncorrected energy: -0.50741 Ry/atom
Mass density: 11748 kg/m3

The structure in POSCAR format:
```
Fe2TeIr
1.0
0.000 3.124 3.124
3.124 0.000 3.124
3.124 3.124 0.000
Fe Te Ir
2 1 1
direct
0.000 0.000 0.000 Fe
0.250 0.250 0.250 Fe
0.750 0.750 0.750 Te
0.500 0.500 0.500 Ir
```

---

A relaxed SrMn2TlI8 crystal. Source: Alexandria, functional GGA-PBE.

Calculated values
Symmetry: P-3
Total magnetic moment: 9.0 Bohr magnetons per cell
E_form (uncorrected): -680.9 meV/atom
Uncorrected energy: -0.26312 Ry/atom
Mass density: 4355 kg/m3

The structure in POSCAR format:
```
SrMn2TlI8
1.0
7.566 0.000 0.000
-3.783 6.552 0.000
0.000 0.000 10.898
Sr Mn Tl I
1 2 1 8
direct
0.000 0.000 0.000 Sr
0.333 0.667 0.260 Mn
0.667 0.333 0.740 Mn
0.000 0.000 0.500 Tl
0.007 0.668 0.807 I
0.332 0.339 0.807 I
0.333 0.667 0.499 I
0.339 0.007 0.193 I
0.661 0.993 0.807 I
0.667 0.333 0.501 I
0.668 0.661 0.193 I
0.993 0.332 0.193 I
```

---

A relaxed CaW3C crystal. Source: Alexandria, functional GGA-PBE.

Calculated values
Symmetry: Pm-3m
Total magnetic moment: 0.0 Bohr magnetons per cell
ΔH_f (0 K): 22.535 eV per formula unit
Uncorrected energy: -0.40498 Ry/atom
Mass density: 10229 kg/m3

The structure in POSCAR format:
```
CaW3C
1.0
4.610 0.000 0.000
0.000 4.610 0.000
0.000 0.000 4.610
Ca W C
1 3 1
direct
0.000 0.000 0.000 Ca
0.000 0.000 0.500 W
0.000 0.500 0.000 W
0.500 0.000 0.000 W
0.500 0.500 0.500 C
```

---

A relaxed KTePt2 crystal. Source: Alexandria, functional GGA-PBE.

Calculated values
Symmetry: P4/mmm
Total magnetic moment: 0.0 Bohr magnetons per cell
E_form (uncorrected): 195.3 meV/atom
Uncorrected energy: -0.28553 Ry/atom
Mass density: 11125 kg/m3

The structure in POSCAR format:
```
KTePt2
1.0
4.525 0.000 0.000
0.000 4.525 0.000
0.000 0.000 4.059
K Te Pt
1 1 2
direct
0.000 0.000 0.000 K
0.500 0.500 0.000 Te
0.000 0.500 0.500 Pt
0.500 0.000 0.500 Pt
```

---

A relaxed Na2LiF3 crystal. Source: Alexandria, functional GGA-PBE.

Calculated values
Symmetry: Immm
Total magnetic moment: 0.0 Bohr magnetons per cell
E_form (uncorrected): -2763.0 meV/atom
Uncorrected energy: -0.32761 Ry/atom
Mass density: 2655 kg/m3

The structure in POSCAR format:
```
Na2LiF3
1.0
-1.570 2.285 4.789
1.570 -2.285 4.789
1.570 2.285 -4.789
Na Li F
2 1 3
direct
0.168 0.168 0.000 Na
0.832 0.832 0.000 Na
0.500 0.500 0.000 Li
0.000 0.500 0.500 F
0.349 0.849 0.500 F
0.651 0.151 0.500 F
```

---

A relaxed Pm4Sn2Hg5 crystal. Source: Alexandria, functional GGA-PBE.

Calculated values
Symmetry: P2/m
Total magnetic moment: 0.0 Bohr magnetons per cell
ΔH_f (0 K): -4.870 eV per formula unit
Uncorrected energy: -0.22308 Ry/atom
Mass density: 9935 kg/m3

The structure in POSCAR format:
```
Pm4Sn2Hg5
1.0
8.249 0.000 0.000
0.000 3.725 0.000
-1.107 0.000 9.902
Pm Sn Hg
4 2 5
direct
0.193 0.000 0.388 Pm
0.265 0.000 0.926 Pm
0.735 0.000 0.074 Pm
0.807 0.000 0.612 Pm
0.079 0.500 0.136 Sn
0.921 0.500 0.864 Sn
0.157 0.500 0.647 Hg
0.458 0.500 0.190 Hg
0.500 0.500 0.500 Hg
0.542 0.500 0.810 Hg
0.843 0.500 0.353 Hg
```

---

A relaxed Sc2Ir2Os crystal. Source: Alexandria, functional GGA-PBE.

Calculated values
Symmetry: P4/mbm
Total magnetic moment: 0.0 Bohr magnetons per cell
ΔH_f (0 K): -2.400 eV per formula unit
Uncorrected energy: -0.64700 Ry/atom
Mass density: 12311 kg/m3

The structure in POSCAR format:
```
Sc2Ir2Os
1.0
6.588 0.000 0.000
0.000 6.588 0.000
0.000 0.000 4.131
Sc Ir Os
4 4 2
direct
0.178 0.322 0.000 Sc
0.322 0.822 0.000 Sc
0.678 0.178 0.000 Sc
0.822 0.678 0.000 Sc
0.135 0.635 0.500 Ir
0.365 0.135 0.500 Ir
0.635 0.865 0.500 Ir
0.865 0.365 0.500 Ir
0.000 0.000 0.500 Os
0.500 0.500 0.500 Os
```